Compound: MoAs2RhO8
Source: Alexandria
Functional: PBE with a Hubbard U
Structure: relaxed

a = 5.487 Å, b = 5.487 Å, c = 6.183 Å
α = 90.00°, β = 90.00°, γ = 120.00°
Fractional positions:
Mo  0.000  0.000  0.000
As  0.333  0.667  0.192
As  0.667  0.333  0.808
Rh  0.000  0.000  0.500
O  0.156  0.312  0.268
O  0.156  0.844  0.268
O  0.312  0.156  0.732
O  0.333  0.667  0.924
O  0.667  0.333  0.076
O  0.688  0.844  0.268
O  0.844  0.156  0.732
O  0.844  0.688  0.732

## Properties
As for the uncorrected energy: -75.1 eV/cell. The space group is No. 164.